Here is a relaxed structure of Nd2DyP from the Alexandria database. Energies are from PBE.

Geometry as POSCAR:
```
Nd2DyP
1.0
3.905 0.000 0.000
-1.952 3.381 0.000
0.000 0.000 28.733
Nd Dy P
6 3 3
direct
0.000 0.000 0.227
0.000 0.000 0.773
0.333 0.667 0.440
0.333 0.667 0.893
0.667 0.333 0.107
0.667 0.333 0.560
0.000 0.000 0.000
0.333 0.667 0.667
0.667 0.333 0.333
0.000 0.000 0.500
0.333 0.667 0.167
0.667 0.333 0.833
```

Calculated values
The crystal system is trigonal. The calculation puts the formation energy at -0.611 eV per atom. The calculation puts the total magnetization at 0.099 Bohr magnetons per cell.

=====

Here is a relaxed structure of BiWSe2N from the Alexandria database. Energies are from PBE.

Geometry as POSCAR:
```
BiWSe2N
1.0
5.462 0.000 0.000
0.000 5.462 0.000
0.000 0.000 4.176
Bi W Se N
1 1 2 1
direct
0.000 0.000 0.000
0.500 0.500 0.500
0.000 0.500 0.000
0.500 0.000 0.000
0.000 0.000 0.500
```

Calculated values
The crystal system is tetragonal. The uncorrected formation energy is 1.864 eV per atom. The calculation puts the total magnetization at 3.016 Bohr magnetons per cell. As for the energy above the most stable polymorph in this dataset: 1.7514 eV per atom.

=====

Here is a relaxed structure of Be2TcPt from the Alexandria database. Energies are from PBE.

Geometry as POSCAR:
```
Be2TcPt
1.0
3.860 0.000 0.000
0.000 2.729 0.000
0.000 0.000 8.677
Be Tc Pt
4 2 2
direct
0.000 0.000 0.000
0.000 0.500 0.500
0.500 0.000 0.158
0.500 0.500 0.658
0.500 0.000 0.431
0.500 0.500 0.931
0.000 0.000 0.725
0.000 0.500 0.225
```

Calculated values
The crystal system is orthorhombic. The calculation puts the formation energy at -0.335 eV per atom. The calculation puts the total magnetization at 0.002 Bohr magnetons per cell. As for the energy above the most stable polymorph in this dataset: 0.0431 eV per atom.

=====

Among the records above, which one has the highest total magnetization? BiWSe2N

=====

Among the records above, which one has the highest total magnetization? BiWSe2N